{
  "formula": "Na3MnMo3O8",
  "functional": "PBE with a Hubbard U",
  "state": "optimized geometry",
  "cell": [[6.394, 0.000, 0.000], [-3.197, 5.536, -0.013], [0.000, -3.682, 5.481]],
  "species": ["Na", "Na", "Na", "Mn", "Mo", "Mo", "Mo", "O", "O", "O", "O", "O", "O", "O", "O"],
  "fractional_positions": [[0.000, 0.000, 0.000], [0.000, 0.500, 0.000], [0.500, 0.500, 0.000], [0.000, 0.000, 0.500], [0.500, 0.000, 0.500], [0.500, 0.500, 0.500], [0.000, 0.500, 0.500], [0.263, 0.527, 0.290], [0.737, 0.473, 0.710], [0.781, 0.563, 0.310], [0.219, 0.437, 0.690], [0.782, 0.028, 0.310], [0.218, 0.972, 0.690], [0.246, 0.028, 0.310], [0.754, 0.972, 0.690]],
  "final_energy_ev_per_fu": -97.2
}